No. 1
Computed, not measured: a relaxed GdTiClO3 crystal at the PBE level of DFT.

```
GdTiClO3
1.0
4.928 -1.972 0.000
4.928 1.972 0.000
-2.849 0.000 9.658
Gd Ti Cl O
2 2 2 6
direct
0.223 0.223 0.205
0.777 0.777 0.795
0.380 0.380 0.568
0.620 0.620 0.432
0.114 0.114 0.905
0.886 0.886 0.095
0.169 0.169 0.437
0.349 0.349 0.744
0.424 0.424 0.378
0.576 0.576 0.622
0.651 0.651 0.256
0.831 0.831 0.563
```

Results
Crystal system: monoclinic
Uncorrected formation energy, eV/atom: -3.0602

=====

No. 2
Computed, not measured: a relaxed Pm3AuCl3 crystal at the PBE level of DFT.

```
Pm3AuCl3
1.0
-5.906 5.906 5.906
5.906 -5.906 5.906
5.906 5.906 -5.906
Pm Au Cl
12 4 12
direct
0.005 0.010 0.255
0.005 0.495 0.750
0.010 0.255 0.005
0.245 0.255 0.750
0.245 0.490 0.495
0.255 0.005 0.010
0.255 0.750 0.245
0.490 0.495 0.245
0.495 0.245 0.490
0.495 0.750 0.005
0.750 0.005 0.495
0.750 0.245 0.255
0.000 0.250 0.500
0.250 0.250 0.250
0.250 0.500 0.000
0.500 0.000 0.250
0.250 0.751 0.749
0.250 0.999 0.501
0.501 0.250 0.999
0.501 0.751 0.502
0.502 0.501 0.751
0.749 0.250 0.751
0.749 0.999 0.998
0.751 0.502 0.501
0.751 0.749 0.250
0.998 0.749 0.999
0.999 0.501 0.250
0.999 0.998 0.749
```

Results
Crystal system: cubic
Uncorrected formation energy, eV/atom: -1.5005

=====

No. 3
Computed, not measured: a relaxed TiGaReSb2 crystal at the PBE level of DFT.

```
TiGaReSb2
1.0
5.166 0.000 0.000
0.000 5.166 0.000
0.000 0.000 4.845
Ti Ga Re Sb
1 1 1 2
direct
0.000 0.000 0.000
0.500 0.500 0.000
0.000 0.000 0.500
0.000 0.500 0.500
0.500 0.000 0.500
```

Results
Crystal system: tetragonal
Uncorrected formation energy, eV/atom: 0.6480

=====

No. 4
Computed, not measured: a relaxed K2SbW crystal at the PBE level of DFT.

```
K2SbW
1.0
4.369 0.000 0.000
0.000 4.369 0.000
0.000 0.000 11.559
K Sb W
4 2 2
direct
0.000 0.500 0.250
0.000 0.500 0.750
0.500 0.000 0.250
0.500 0.000 0.750
0.000 0.000 0.000
0.500 0.500 0.500
0.000 0.000 0.500
0.500 0.500 0.000
```

Results
Crystal system: tetragonal
Uncorrected formation energy, eV/atom: 1.0109

=====

No. 5
Computed, not measured: a relaxed KAgHg2Se crystal at the PBE level of DFT.

```
KAgHg2Se
1.0
5.541 0.000 0.000
0.000 5.541 0.000
0.000 0.000 5.325
K Ag Hg Se
1 1 2 1
direct
0.000 0.000 0.000
0.500 0.500 0.500
0.000 0.500 0.500
0.500 0.000 0.500
0.500 0.500 0.000
```

Results
Crystal system: tetragonal
Uncorrected formation energy, eV/atom: -0.2448

=====

No. 6
Computed, not measured: a relaxed CaGa2Os2 crystal at the PBE level of DFT.

```
CaGa2Os2
1.0
7.609 0.000 0.000
0.000 7.609 0.000
0.000 0.000 2.856
Ca Ga Os
2 4 4
direct
0.000 0.000 0.000
0.500 0.500 0.000
0.141 0.359 0.000
0.359 0.859 0.000
0.641 0.141 0.000
0.859 0.641 0.000
0.153 0.653 0.500
0.347 0.153 0.500
0.653 0.847 0.500
0.847 0.347 0.500
```

Results
Energy of formation from the pure elements, meV/atom: -11
Crystal system: tetragonal

=====

Number 1: density of states at the Fermi level 0.0000 states/eV per atom. Number 2: density of states at the Fermi level 0.7454 states/eV per atom. Number 3: density of states at the Fermi level 0.8952 states/eV per atom. Number 4: density of states at the Fermi level 0.5425 states/eV per atom. Number 5: density of states at the Fermi level 0.1122 states/eV per atom. Number 6: density of states at the Fermi level 0.4421 states/eV per atom.